Record 1
The following is a PBE calculation of a geometry-optimized Nb2GeHSe structure, from the Alexandria database.

Total DFT energy (no corrections) in eV per atom: -5.9628

abc: 5.0318 5.0318 3.1844
angles: 90.00 90.00 90.00
Last column: nearest neighbours and their distance in Å.
Space group P4/mmm (No. 123)
One atom of each set of equivalent atoms:
Nb  0.0000  0.5000  0.0000 (multiplicity 2)  2 Se 2.52
Ge  0.0000  0.0000  0.5000 (multiplicity 1)  8 Nb 2.98, 2 Ge 3.18
H  0.5000  0.5000  0.5000 (multiplicity 1)  2 Se 1.59
Se  0.5000  0.5000  0.0000 (multiplicity 1)  2 H 1.59


Record 2
The following is a PBE calculation of a geometry-optimized K3AgOs structure, from the Alexandria database.

ΔE to the lowest computed polymorph in meV/atom: 0

abc: 6.1632 6.1632 6.1632
angles: 90.00 90.00 90.00
Last column: nearest neighbours and their distance in Å.
Space group Pm-3m (No. 221)
One atom of each set of equivalent atoms:
K  0.0000  0.0000  0.5000 (multiplicity 3)  2 Os 3.08
Ag  0.5000  0.5000  0.5000 (multiplicity 1)  12 K 4.36
Os  0.0000  0.0000  0.0000 (multiplicity 1)  6 K 3.08


Record 3
The following is a PBE calculation of a geometry-optimized Ba8SiSe3Br4 structure, from the Alexandria database.

Formation energy (no corrections) in meV per atom: -1678

abc: 9.5223 9.5223 23.4746
angles: 90.00 90.00 120.00
Last column: nearest neighbours and their distance in Å.
Space group R-3m (No. 166, hexagonal axes)
One atom of each set of equivalent atoms:
Ba  0.0000  0.0000  0.2422 (multiplicity 6)  3 Se 3.27, 3 Br 3.48
Ba  0.0083  0.5041  0.2419 (multiplicity 18)  1 Si 3.21, 2 Se 3.30, 3 Br 3.46-3.54
Si  0.0000  0.0000  0.5000 (multiplicity 3)  6 Ba 3.21
Se  0.0000  0.5000  0.5000 (multiplicity 9)  6 Ba 3.27-3.30
Br  0.0000  0.0000  0.0000 (multiplicity 3)  6 Ba 3.54
Br  0.0000  0.5000  0.0000 (multiplicity 9)  6 Ba 3.46-3.48


Record 4
The following is a PBE calculation of a geometry-optimized PtSClF structure, from the Alexandria database.

Formation energy (no corrections) in meV per atom: -733

abc: 3.3789 4.3150 7.4225
angles: 105.57 90.16 113.00
Last column: nearest neighbours and their distance in Å.
Space group P1 (No. 1)
One atom of each set of equivalent atoms:
Pt  0.0000  0.0000  0.0000 (multiplicity 1)  2 S 2.25, 2 Cl 2.40
S  0.5112  0.0249  0.8043 (multiplicity 1)  1 F 1.67
Cl  0.5089  0.0147  0.2312 (multiplicity 1)  2 Pt 2.40
F  0.3165  0.6374  0.6376 (multiplicity 1)  1 S 1.67


Record 5
The following is a PBE calculation of a geometry-optimized GeBAu3 structure, from the Alexandria database.

ΔE to the lowest computed polymorph in meV/atom: 884

abc: 4.8860 4.8860 4.8860
angles: 90.00 90.00 90.00
Last column: nearest neighbours and their distance in Å.
Space group Pm-3m (No. 221)
One atom of each set of equivalent atoms:
Ge  0.0000  0.0000  0.0000 (multiplicity 1)  6 Au 2.44
B  0.5000  0.5000  0.5000 (multiplicity 1)  12 Au 3.45
Au  0.0000  0.0000  0.5000 (multiplicity 3)  2 Ge 2.44


Record 6
The following is a PBE calculation of a geometry-optimized Ba2CaGa2 structure, from the Alexandria database.

ΔE to the lowest computed polymorph in meV/atom: 204

abc: 5.1403 5.1403 14.0958
angles: 90.00 90.00 90.00
Last column: nearest neighbours and their distance in Å.
Space group I4/mmm (No. 139)
One atom of each set of equivalent atoms:
Ba  0.0000  0.5000  0.2500 (multiplicity 4)  4 Ga 3.45, 4 Ba 3.63
Ca  0.0000  0.0000  0.0000 (multiplicity 2)  8 Ga 3.83
Ga  0.0000  0.0000  0.4135 (multiplicity 4)  1 Ga 2.44


Record 7
The following is a PBE calculation of a geometry-optimized TeBrF structure, from the Alexandria database.

ΔE to the lowest computed polymorph in meV/atom: 215
Formation energy (no corrections) in meV per atom: -730

abc: 6.6755 7.6661 3.8221
angles: 90.00 101.89 90.00
Last column: nearest neighbours and their distance in Å.
Space group Cm (No. 8)
One atom of each set of equivalent atoms:
Te  0.0000  0.0000  0.0000 (multiplicity 2)  1 F 2.06
Br  0.1922  0.5000  0.4484 (multiplicity 2)  2 Te 2.62-2.93
F  0.1967  0.0000  0.6486 (multiplicity 2)  1 Te 2.06


Record 8
The following is a PBE calculation of a geometry-optimized La2Dy3Sn4 structure, from the Alexandria database.

ΔE to the lowest computed polymorph in meV/atom: 0

abc: 8.3924 8.4047 8.1352
angles: 90.00 110.11 90.00
Last column: nearest neighbours and their distance in Å.
Space group P2_1/c (No. 14)
One atom of each set of equivalent atoms:
La  0.1923  0.1765  0.0640 (multiplicity 4)  7 Sn 3.25-3.63
Dy  0.2485  0.6678  0.2446 (multiplicity 4)  6 Sn 3.07-3.23
Dy  0.5000  0.0000  0.5000 (multiplicity 2)  6 Sn 3.19-3.30
Sn  0.0830  0.5403  0.8472 (multiplicity 4)  4 Dy 3.07-3.30, 1 La 3.31, 1 Sn 3.31
Sn  0.4910  0.1341  0.8630 (multiplicity 4)  5 Dy 3.10-3.26, 1 Sn 3.14, 2 La 3.25-3.45


Question: What is the formula in the fourth record?
Answer: PtSClF


Copy entry 1 word for word.
The following is a PBE calculation of a geometry-optimized Nb2GeHSe structure, from the Alexandria database.

Total DFT energy (no corrections) in eV per atom: -5.9628

abc: 5.0318 5.0318 3.1844
angles: 90.00 90.00 90.00
Last column: nearest neighbours and their distance in Å.
Space group P4/mmm (No. 123)
One atom of each set of equivalent atoms:
Nb  0.0000  0.5000  0.0000 (multiplicity 2)  2 Se 2.52
Ge  0.0000  0.0000  0.5000 (multiplicity 1)  8 Nb 2.98, 2 Ge 3.18
H  0.5000  0.5000  0.5000 (multiplicity 1)  2 Se 1.59
Se  0.5000  0.5000  0.0000 (multiplicity 1)  2 H 1.59